Nb2CrAu | PBE-GGA | relaxed

```
Nb2CrAu
1.0
-1.928 1.928 9.946
1.928 -1.928 9.946
1.928 1.928 -9.946
Nb Cr Au
4 2 2
Cartesian
2.892 0.936 -2.486
0.936 0.964 2.486
-0.964 0.992 7.459
0.992 0.964 12.432
0.000 0.000 0.000
0.000 1.928 4.973
1.928 0.000 4.973
0.000 0.000 9.946
```

Calculated values
- ρ: 9765 kg/m3
- N(E_F): 8.7 states/eV/cell
- ΔE_f: 561 meV/atom
- Energy above the lowest structure with this stoichiometry: 552 meV per atom